SrPtRh: relaxed, PBE.

Output
- distance to the lowest polymorph of the same formula (eV per formula unit) = 0.72
- calculated volume (Å³/cell) = 72
- final energy (eV/atom) = -5.392
- energy of formation from the pure elements (eV/atom) = -0.37
- spin magnetization (μB per atom) = 0.315

Unit cell a=4.345 b=4.345 c=4.430 alpha=90.00 beta=90.00 gamma=120.00
Element x y z (fractional)
1 Sr 0.000 0.000 0.000
2 Pt 0.667 0.333 0.500
3 Rh 0.333 0.667 0.500

Mn2VSbN: relaxed, PBE.

Output
- calculated volume (Å³/cell) = 64
- final energy (eV/atom) = -8.242
- raw formation energy (eV per atom) = -0.26
- spin magnetization (μB per atom) = 0.786

Unit cell a=3.970 b=3.970 c=4.065 alpha=90.00 beta=90.00 gamma=90.00
Element x y z (fractional)
1 Mn 0.000 0.500 0.000
2 Mn 0.500 0.000 0.000
3 V 0.000 0.000 0.500
4 Sb 0.500 0.500 0.500
5 N 0.000 0.000 0.000

BeCd2Si: relaxed, PBE.

Output
- distance to the lowest polymorph of the same formula (eV per formula unit) = 0.86
- calculated volume (Å³/cell) = 69
- final energy (eV/atom) = -2.245
- raw formation energy (eV per atom) = 0.50
- spin magnetization (μB per atom) = 0.000

Unit cell a=2.944 b=2.944 c=8.020 alpha=90.00 beta=90.00 gamma=90.00
Element x y z (fractional)
1 Be 0.000 0.000 0.000
2 Cd 0.500 0.500 0.216
3 Cd 0.500 0.500 0.784
4 Si 0.000 0.000 0.500

PmMgRh: relaxed, PBE.

Output
- distance to the lowest polymorph of the same formula (eV per formula unit) = 0.53
- calculated volume (Å³/cell) = 74
- final energy (eV/atom) = -5.008
- energy of formation from the pure elements (eV/atom) = -0.44
- spin magnetization (μB per atom) = 0.000

Unit cell a=4.710 b=4.710 c=4.710 alpha=60.00 beta=60.00 gamma=60.00
Element x y z (fractional)
1 Pm 0.000 0.000 0.000
2 Mg 0.500 0.500 0.500
3 Rh 0.250 0.250 0.250